DFT (PBE+U) results for a geometry-optimized GaNiBiO4 structure.

a b c (Å): 6.400 6.338 6.338
angles (deg): 60.98 59.68 59.68
Each line ends with the local moment (μB).
Atoms (fractional coordinates):
Ga 0.619 0.631 0.131  0.02
Ga 0.381 0.369 0.869  0.02
Ni 0.500 0.000 0.500  1.77
Ni 0.000 0.000 0.500  1.77
Bi 0.000 0.000 0.000  0.00
Bi 0.000 0.500 0.500  0.00
O 0.735 0.769 0.760  0.07
O 0.265 0.740 0.731  0.07
O 0.735 0.260 0.269  0.07
O 0.265 0.231 0.240  0.07
O 0.253 0.764 0.264  0.03
O 0.720 0.764 0.264  0.03
O 0.280 0.236 0.736  0.03
O 0.747 0.236 0.736  0.03

VASP energy	-76.1	eV for the cell shown